Compound: FeCoPO2
Source: Alexandria via LeMat-Bulk
Functional: PBE+U
Structure: optimized geometry

Values from the calculation:
**Total energy**: -5.2247 eV per atom
**Relative energy among the computed polymorphs**: 0 meV/atom
**Magnetic moment**: 1.2400 μB per atom
**Crystal system**: tetragonal

Geometry as CIF:
```
data_FeCoPO2
_cell_length_a 3.642
_cell_length_b 3.642
_cell_length_c 5.175
_cell_angle_alpha 90.00
_cell_angle_beta 90.00
_cell_angle_gamma 90.00
_space_group_name_H-M_alt 'P 1'
_space_group_IT_number 1
loop_
_space_group_symop_operation_xyz
'x,y,z'
loop_
_atom_site_label
_atom_site_type_symbol
_atom_site_fract_x
_atom_site_fract_y
_atom_site_fract_z
P1 P 0.000 0.000 0.500
Co1 Co 0.500 0.500 0.500
Fe1 Fe 0.000 0.000 0.000
O1 O 0.000 0.500 0.000
O2 O 0.500 0.000 0.000
```